Cs3WCl2F6: optimized geometry, PBE with a Hubbard U.

Summary:
VASP energy, eV per cell: -54.97

abc: 9.4746 9.4746 5.0721
angles: 93.58 93.58 53.18
Atoms (fractional coordinates):
Cs: 0.0000 0.0000 0.0000
Cs: 0.0000 0.5000 0.5000
Cs: 0.5000 0.0000 0.5000
W: 0.5000 0.5000 0.5000
Cl: 0.1932 0.1932 0.9783
Cl: 0.8068 0.8068 0.0217
F: 0.2900 0.6270 0.7129
F: 0.3730 0.7100 0.2871
F: 0.3971 0.3971 0.3095
F: 0.6029 0.6029 0.6905
F: 0.6270 0.2900 0.7129
F: 0.7100 0.3730 0.2871